[1]
ScReIr2 | PBE | relaxed

```
ScReIr2
1.0
0.0000 3.1560 3.1560
3.1560 0.0000 3.1560
3.1560 3.1560 0.0000
Sc Re Ir
1 1 2
Direct
0.0000 0.0000 0.0000
0.7500 0.7500 0.7500
0.2500 0.2500 0.2500
0.5000 0.5000 0.5000
```

Values from the calculation:
Crystal system   cubic
Energy relative to the elements   -38 meV/atom
Excess energy over the best structure of this formula in the dataset   1.67 eV per formula unit
Total magnetization   0.0 μB per cell


[2]
Nd2ThTl2Cd2 | PBE | relaxed

```
Nd2ThTl2Cd2
1.0
2.5367 1.4646 8.9947
-2.5367 1.4646 8.9947
0.0000 -2.9291 8.9947
Nd Th Tl Cd
2 1 2 2
Direct
0.1307 0.1307 0.1307
0.8693 0.8693 0.8693
0.0000 0.0000 0.0000
0.2720 0.2720 0.2720
0.7280 0.7280 0.7280
0.4171 0.4171 0.4171
0.5829 0.5829 0.5829
```

Values from the calculation:
Crystal system   trigonal
Energy relative to the elements   -95 meV/atom
Total magnetization   0.0 μB per cell


Which value of energy relative to the elements does entry 2 give?
-95 meV/atom


Number 1 is which compound?
ScReIr2